Record 1
VASP calculation (PBE) on crystalline Hg2IrPd at its relaxed geometry.

Computed properties:
formation energy from the elements: 397 meV/atom
electronic total energy: -3.259 eV/atom

Unit cell a=4.659 b=4.659 c=4.659 alpha=60.00 beta=60.00 gamma=60.00
Positions (direct):
Hg1 0.000 0.000 0.000
Hg2 0.250 0.250 0.250
Ir1 0.500 0.500 0.500
Pd1 0.750 0.750 0.750

---

Record 2
VASP calculation (PBE) on crystalline BeReTe at its relaxed geometry.

Computed properties:
excess energy over the best structure of this formula in the dataset: 0.00 eV/f.u.
electronic total energy: -5.633 eV/atom

Unit cell a=4.262 b=4.262 c=4.262 alpha=60.00 beta=60.00 gamma=60.00
Positions (direct):
Be1 0.250 0.250 0.250
Re1 0.000 0.000 0.000
Te1 0.750 0.750 0.750

---

Record 3
VASP calculation (PBE) on crystalline SrGaCu at its relaxed geometry.

Computed properties:
electronic total energy: -2.350 eV/atom

Unit cell a=4.988 b=4.988 c=4.988 alpha=60.00 beta=60.00 gamma=60.00
Positions (direct):
Cu1 0.250 0.250 0.250
Ga1 0.750 0.750 0.750
Sr1 0.000 0.000 0.000

---

Record 4
VASP calculation (PBE) on crystalline Li2LaYIn2Au2 at its relaxed geometry.

Computed properties:
electronic total energy: -4.018 eV/atom

Unit cell a=4.941 b=4.941 c=6.991 alpha=90.00 beta=90.00 gamma=90.00
Positions (direct):
Au1 0.500 0.000 0.261
Au2 0.000 0.500 0.739
In1 0.000 0.000 0.000
In2 0.500 0.500 0.500
La1 0.500 0.500 0.000
Li1 0.000 0.500 0.256
Li2 0.500 0.000 0.744
Y1 0.000 0.000 0.500